! MgV3O8, relaxed, DFT GGA+U; values from VASP
&SYSTEM
  ibrav = 0, nat = 12, ntyp = 3
/
ATOMIC_SPECIES
Mg 24.30 Mg.upf
V 50.94 V.upf
O 16.00 O.upf
ATOMIC_POSITIONS angstrom
Mg 0.0000 0.0000 0.0000
V 0.2300 0.0000 3.6318
V 3.6844 0.0000 0.1278
V 3.9323 0.0000 3.7512
O 0.3159 0.0000 1.9853
O 0.1851 0.0000 5.9118
O 1.9331 0.0000 4.1268
O 3.6877 0.0000 1.9639
O 3.7941 0.0000 5.7775
O 5.9059 0.0000 3.8382
O 10.1048 0.0000 0.1061
O 10.4910 0.0000 4.0030
CELL_PARAMETERS angstrom
6.1403 -1.8838 0.0000
6.1403 1.8838 0.0000
-1.8357 0.0000 6.2094
! VASP energy, eV/f.u.: -87.7
! Calculated volume, Å³/atom: 11.97